DFT (GGA-PBE) results for a relaxed CsKNiCl4 crystal.

a = 6.644 Å, b = 7.307 Å, c = 9.709 Å
α = 90.00°, β = 107.62°, γ = 90.00°
Atoms (fractional coordinates):
1 Cs 0.212 0.250 0.420
2 Cs 0.788 0.750 0.580
3 K 0.342 0.750 0.038
4 K 0.658 0.250 0.962
5 Ni 0.091 0.250 0.806
6 Ni 0.909 0.750 0.194
7 Cl 0.189 0.250 0.049
8 Cl 0.232 0.750 0.357
9 Cl 0.265 0.008 0.755
10 Cl 0.265 0.492 0.755
11 Cl 0.735 0.508 0.245
12 Cl 0.735 0.992 0.245
13 Cl 0.768 0.250 0.643
14 Cl 0.811 0.750 0.951

Summary:
Magnetic moment (μB per cell): 4.00
Energy relative to the elements, uncorrected (eV/atom): -1.3680
ρ (g/cm3): 2.754

***

DFT (GGA-PBE) results for a relaxed KLi2BiF crystal.

a = 5.763 Å, b = 5.763 Å, c = 4.329 Å
α = 90.00°, β = 90.00°, γ = 90.00°
Atoms (fractional coordinates):
1 K 0.000 0.000 0.000
2 Li 0.000 0.500 0.000
3 Li 0.500 0.000 0.000
4 Bi 0.500 0.500 0.500
5 F 0.000 0.000 0.500

Summary:
Magnetic moment (μB per cell): 0.00
Energy relative to the elements, uncorrected (eV/atom): -0.5517
ρ (g/cm3): 3.245

***

DFT (GGA-PBE) results for a relaxed CoRuSe2 crystal.

a = 3.084 Å, b = 4.389 Å, c = 4.401 Å
α = 90.00°, β = 90.00°, γ = 90.00°
Atoms (fractional coordinates):
1 Co 0.000 0.000 0.000
2 Ru 0.000 0.500 0.500
3 Se 0.500 0.000 0.500
4 Se 0.500 0.500 0.000

Summary:
Distance to the lowest polymorph of the same formula (eV/atom): 0.530
Magnetic moment (μB per cell): 1.65
Energy relative to the elements, uncorrected (eV/atom): 0.2664
ρ (g/cm3): 8.863

***

DFT (GGA-PBE) results for a relaxed AcTbIr crystal.

a = 4.278 Å, b = 4.278 Å, c = 6.514 Å
α = 90.00°, β = 90.00°, γ = 120.00°
Atoms (fractional coordinates):
1 Ac 0.000 0.000 0.000
2 Tb 0.667 0.333 0.452
3 Ir 0.333 0.667 0.249

Summary:
Distance to the lowest polymorph of the same formula (eV/atom): 0.055
Magnetic moment (μB per cell): 0.00
Formation enthalpy at 0 K (eV per atom): -0.548
ρ (g/cm3): 9.297

***

DFT (GGA-PBE) results for a relaxed BiAsPdO5 crystal.

a = 5.764 Å, b = 5.764 Å, c = 8.534 Å
α = 101.16°, β = 101.16°, γ = 111.58°
Atoms (fractional coordinates):
1 Bi 0.000 0.000 0.000
2 Bi 0.000 0.000 0.500
3 As 0.313 0.687 0.750
4 As 0.687 0.313 0.250
5 Pd 0.305 0.695 0.250
6 Pd 0.695 0.305 0.750
7 O 0.025 0.643 0.809
8 O 0.101 0.899 0.250
9 O 0.277 0.447 0.583
10 O 0.357 0.975 0.691
11 O 0.447 0.277 0.083
12 O 0.553 0.723 0.917
13 O 0.643 0.025 0.309
14 O 0.723 0.553 0.417
15 O 0.899 0.101 0.750
16 O 0.975 0.357 0.191

Summary:
Magnetic moment (μB per cell): 0.00
Energy relative to the elements, uncorrected (eV/atom): -0.9002
ρ (g/cm3): 6.311

***

DFT (GGA-PBE) results for a relaxed Nd2Dy3Er6Sc crystal.

a = 6.098 Å, b = 6.098 Å, c = 11.688 Å
α = 94.98°, β = 94.98°, γ = 119.98°
Atoms (fractional coordinates):
1 Nd 0.166 0.834 0.000
2 Nd 0.834 0.166 0.000
3 Dy 0.000 0.000 0.500
4 Dy 0.334 0.666 0.500
5 Dy 0.666 0.334 0.500
6 Er 0.086 0.417 0.750
7 Er 0.253 0.253 0.251
8 Er 0.417 0.086 0.750
9 Er 0.583 0.914 0.250
10 Er 0.747 0.747 0.749
11 Er 0.914 0.583 0.250
12 Sc 0.500 0.500 0.000

Summary:
Magnetic moment (μB per cell): 0.00
Formation enthalpy at 0 K (eV per atom): 0.027
ρ (g/cm3): 8.172

***

DFT (GGA-PBE) results for a relaxed MnCrRu2 crystal.

a = 2.614 Å, b = 2.614 Å, c = 8.381 Å
α = 90.00°, β = 90.00°, γ = 113.36°
Atoms (fractional coordinates):
1 Mn 0.000 0.000 0.000
2 Cr 0.500 0.500 0.227
3 Ru 0.000 0.000 0.472
4 Ru 0.500 0.500 0.750

Summary:
Magnetic moment (μB per cell): 1.38
Formation enthalpy at 0 K (eV per atom): 0.322
ρ (g/cm3): 9.764

***

Among the records above, which one has the highest ρ?
MnCrRu2

***

Which of these has the highest magnetic moment?
CsKNiCl4

***

Copy entry 5 word for word.
DFT (GGA-PBE) results for a relaxed BiAsPdO5 crystal.

a = 5.764 Å, b = 5.764 Å, c = 8.534 Å
α = 101.16°, β = 101.16°, γ = 111.58°
Atoms (fractional coordinates):
1 Bi 0.000 0.000 0.000
2 Bi 0.000 0.000 0.500
3 As 0.313 0.687 0.750
4 As 0.687 0.313 0.250
5 Pd 0.305 0.695 0.250
6 Pd 0.695 0.305 0.750
7 O 0.025 0.643 0.809
8 O 0.101 0.899 0.250
9 O 0.277 0.447 0.583
10 O 0.357 0.975 0.691
11 O 0.447 0.277 0.083
12 O 0.553 0.723 0.917
13 O 0.643 0.025 0.309
14 O 0.723 0.553 0.417
15 O 0.899 0.101 0.750
16 O 0.975 0.357 0.191

Summary:
Magnetic moment (μB per cell): 0.00
Energy relative to the elements, uncorrected (eV/atom): -0.9002
ρ (g/cm3): 6.311

***

Please write out number 3 again, unchanged.
DFT (GGA-PBE) results for a relaxed CoRuSe2 crystal.

a = 3.084 Å, b = 4.389 Å, c = 4.401 Å
α = 90.00°, β = 90.00°, γ = 90.00°
Atoms (fractional coordinates):
1 Co 0.000 0.000 0.000
2 Ru 0.000 0.500 0.500
3 Se 0.500 0.000 0.500
4 Se 0.500 0.500 0.000

Summary:
Distance to the lowest polymorph of the same formula (eV/atom): 0.530
Magnetic moment (μB per cell): 1.65
Energy relative to the elements, uncorrected (eV/atom): 0.2664
ρ (g/cm3): 8.863